# 1
Entry from the Alexandria database: an optimized crystal structure of Tm7Ga2Rh2 (PBE-GGA). Values from VASP.

```
&SYSTEM
  ibrav = 0, nat = 11, ntyp = 3
/
ATOMIC_SPECIES
Tm 168.93 Tm.upf
Ga 69.72 Ga.upf
Rh 102.91 Rh.upf
ATOMIC_POSITIONS crystal
Tm 0.0000 0.7395 0.5000
Ga 0.8305 0.5000 0.8305
Tm 0.5000 0.2605 0.0000
Tm 0.5000 0.2532 0.5000
Tm 0.5000 0.7468 0.5000
Tm 0.5000 0.7395 0.0000
Rh 0.2910 0.0000 0.7090
Tm 0.0000 0.2605 0.5000
Ga 0.1695 0.5000 0.1695
Rh 0.7090 0.0000 0.2910
Tm 0.0000 0.0000 0.0000
CELL_PARAMETERS angstrom
-1.9014 -1.6354 -6.0805
6.5843 0.0197 -2.0640
1.0728 -5.5464 3.3688
```

Values from the calculation:
DFT formation energy: -451 meV per atom
Symmetry: Cmmm
Mass density: 8.94 g/cm³


# 2
Entry from the Alexandria database: an optimized crystal structure of HfScAlMo (PBE-GGA). Values from VASP.

```
&SYSTEM
  ibrav = 0, nat = 4, ntyp = 4
/
ATOMIC_SPECIES
Al 26.98 Al.upf
Hf 178.49 Hf.upf
Sc 44.96 Sc.upf
Mo 95.94 Mo.upf
ATOMIC_POSITIONS crystal
Al 0.7500 0.7500 0.7500
Hf 0.5000 0.5000 0.5000
Sc 0.0000 0.0000 0.0000
Mo 0.2500 0.2500 0.2500
CELL_PARAMETERS angstrom
4.7265 0.0000 0.0000
2.3632 4.0932 0.0000
2.3632 1.3644 3.8591
```

Values from the calculation:
DFT formation energy: -201 meV per atom
Symmetry: F-43m
Mass density: 7.70 g/cm³


# 3
Entry from the Alexandria database: an optimized crystal structure of Cd4Cl (PBE-GGA). Values from VASP.

```
&SYSTEM
  ibrav = 0, nat = 5, ntyp = 2
/
ATOMIC_SPECIES
Cd 112.41 Cd.upf
Cl 35.45 Cl.upf
ATOMIC_POSITIONS crystal
Cd 0.5000 0.5000 0.0000
Cd 0.0000 0.5000 0.5000
Cd 0.0000 0.0000 0.0000
Cd 0.5000 0.0000 0.5000
Cl 0.5000 0.5000 0.5000
CELL_PARAMETERS angstrom
-1.7849 -2.6122 -4.6280
-2.9839 -3.5472 3.1530
-4.3975 3.4672 -0.2610
```

Values from the calculation:
E_form (uncorrected): 0.32 eV/atom
Symmetry: Pm-3m
Energy above the most stable polymorph in this dataset: 437.5 meV per atom
Mass density: 4.57 g/cm³